{"formula": "Sb2Rh", "functional": "PBEsol", "state": "relaxed", "final_energy_ev_per_atom": -6.012, "m_tot_mub_per_cell": 0.00, "raw_formation_energy_ev_per_atom": -0.261, "cell": [[-1.780, 0.092, 3.498], [1.649, -4.360, 3.156], [4.033, 2.690, 4.184]], "species": ["Rh", "Rh", "Sb", "Sb", "Sb", "Sb"], "frac_coords": [[0.171, 0.835, 0.823], [0.829, 0.165, 0.177], [0.844, 0.771, 0.540], [0.595, 0.695, 0.115], [0.405, 0.305, 0.885], [0.156, 0.229, 0.460]]}

---

{"formula": "KCr2Si", "functional": "PBEsol", "state": "relaxed", "final_energy_ev_per_atom": -6.277, "m_tot_mub_per_cell": 0.00, "raw_formation_energy_ev_per_atom": 0.564, "cell": [[-1.004, 2.116, -1.634], [-2.976, 0.223, 2.118], [3.315, 4.779, 4.153]], "species": ["Cr", "Cr", "K", "Si"], "frac_coords": [[0.000, 0.000, 0.632], [0.000, 0.000, 0.368], [0.500, 0.500, 0.000], [0.500, 0.500, 0.500]]}

---

{"formula": "Zr2MnPt", "functional": "PBEsol", "state": "relaxed", "de_polymorph_kcal_per_mol_atoms": 1.689, "final_energy_ev_per_atom": -9.193, "m_tot_mub_per_cell": 0.00, "e_form_ev_per_fu": -1.868, "cell": [[-3.087, 3.288, 0.724], [-1.156, 1.149, 4.267], [1.310, 4.025, 1.716]], "species": ["Mn", "Pt", "Zr", "Zr"], "frac_coords": [[0.000, 0.000, 0.000], [0.500, 0.500, 0.500], [0.250, 0.250, 0.250], [0.750, 0.750, 0.750]]}

---

{"formula": "Ca2Sn2Pd", "functional": "PBEsol", "state": "relaxed", "final_energy_ev_per_atom": -4.439, "m_tot_mub_per_cell": 0.00, "e_form_ev_per_fu": -3.453, "cell": [[-1.536, -2.758, 3.704], [6.052, 1.323, 3.494], [-2.987, 5.709, 3.012]], "species": ["Ca", "Ca", "Ca", "Ca", "Sn", "Sn", "Sn", "Sn", "Pd", "Pd"], "frac_coords": [[0.500, 0.166, 0.666], [0.500, 0.666, 0.834], [0.500, 0.834, 0.334], [0.500, 0.334, 0.166], [0.000, 0.355, 0.855], [0.000, 0.855, 0.645], [0.000, 0.645, 0.145], [0.000, 0.145, 0.355], [0.000, 0.000, 0.000], [0.000, 0.500, 0.500]]}

---

{"formula": "ScTeO3", "functional": "PBEsol", "state": "relaxed", "final_energy_ev_per_atom": -6.720, "m_tot_mub_per_cell": 0.00, "raw_formation_energy_ev_per_atom": -1.545, "cell": [[-1.500, 2.763, 2.518], [-3.499, -1.993, 0.102], [1.316, -2.149, 3.142]], "species": ["Sc", "Te", "O", "O", "O"], "frac_coords": [[0.000, 0.000, 0.000], [0.500, 0.500, 0.500], [0.000, 0.500, 0.000], [0.000, 0.000, 0.500], [0.500, 0.000, 0.000]]}

---

{"formula": "KCdPb2F", "functional": "PBEsol", "state": "relaxed", "final_energy_ev_per_atom": -1.678, "m_tot_mub_per_cell": 0.00, "raw_formation_energy_ev_per_atom": 0.773, "cell": [[-3.164, -3.771, 3.311], [5.176, -2.354, 2.265], [-0.126, 4.097, 4.545]], "species": ["Pb", "Pb", "K", "F", "Cd"], "frac_coords": [[0.000, 0.000, 0.500], [0.000, 0.500, 0.000], [0.000, 0.000, 0.000], [0.500, 0.500, 0.500], [0.500, 0.000, 0.000]]}

---

{"formula": "Y2Zn2Ag", "functional": "PBEsol", "state": "relaxed", "final_energy_ev_per_atom": -4.338, "m_tot_mub_per_cell": 0.01, "e_form_ev_per_fu": -1.572, "cell": [[-2.927, -3.002, 0.411], [5.025, -4.672, 1.661], [-0.728, 1.644, 6.826]], "species": ["Y", "Y", "Y", "Y", "Zn", "Zn", "Zn", "Zn", "Ag", "Ag"], "frac_coords": [[0.500, 0.172, 0.672], [0.500, 0.672, 0.828], [0.500, 0.828, 0.328], [0.500, 0.328, 0.172], [0.000, 0.373, 0.873], [0.000, 0.873, 0.627], [0.000, 0.627, 0.127], [0.000, 0.127, 0.373], [0.000, 0.000, 0.000], [0.000, 0.500, 0.500]]}

---

{"formula": "SnMo3", "functional": "PBEsol", "state": "relaxed", "final_energy_ev_per_atom": -9.870, "m_tot_mub_per_cell": 0.00, "e_form_ev_per_fu": 0.081, "cell": [[-2.979, 2.866, 2.917], [-4.038, -1.492, -2.658], [-0.646, -3.893, 3.166]], "species": ["Sn", "Sn", "Mo", "Mo", "Mo", "Mo", "Mo", "Mo"], "frac_coords": [[0.000, 0.000, 0.000], [0.500, 0.500, 0.500], [0.250, 0.000, 0.500], [0.750, 0.000, 0.500], [0.000, 0.500, 0.250], [0.000, 0.500, 0.750], [0.500, 0.750, 0.000], [0.500, 0.250, 0.000]]}